# MnZn5B2O10

MnZn5B2O10 after structural relaxation (PBEsol, the Alexandria database).

Results
volume: 347 Å³ per cell
total magnetic moment: 2.9 μB per formula unit
energy relative to the elements, uncorrected: -1.6912 eV per atom

Cell: 3.0252 9.3955 12.2194 Å, 90.00 90.00 90.00°
With the nearest neighbours (Å) after each atom.
Space group Pmc2_1 (No. 26)
Unique sites:
Mn: 0.0000 0.0053 0.0000 [2 per cell]  6 O 1.94-2.00
Zn: 0.0000 0.2733 0.3767 [2 per cell]  4 O 1.98-2.05
Zn: 0.0000 0.4782 0.7620 [2 per cell]  6 O 2.01-2.14
Zn: 0.5000 0.2532 0.8827 [2 per cell]  4 O 1.93-2.10
Zn: 0.5000 0.2577 0.6019 [2 per cell]  2 O 1.86-2.05
Zn: 0.5000 0.2599 0.1627 [2 per cell]  6 O 2.01-2.16
B: 0.0000 0.0080 0.7471 [2 per cell]  3 O 1.36-1.41
B: 0.0000 0.4743 0.0200 [2 per cell]  3 O 1.37-1.40
O: 0.0000 0.0799 0.6464 [2 per cell]  1 B 1.40
O: 0.0000 0.0825 0.8473 [2 per cell]  1 B 1.41
O: 0.0000 0.1366 0.2457 [2 per cell]  1 B 1.36
O: 0.0000 0.3763 0.5206 [2 per cell]  1 B 1.40
O: 0.0000 0.3954 0.9255 [2 per cell]  1 B 1.37
O: 0.0000 0.4024 0.1181 [2 per cell]  1 B 1.38
O: 0.5000 0.1213 0.4708 [2 per cell]  2 Mn 1.96, 1 Zn 2.05
O: 0.5000 0.1304 0.0265 [2 per cell]  2 Mn 1.94, 2 Zn 2.06-2.10
O: 0.5000 0.3409 0.7400 [2 per cell]  4 Zn 1.86-2.01
O: 0.5000 0.3700 0.3038 [2 per cell]  5 Zn 1.98-2.14